A geometry-optimized Y2Re2F structure, computed with GGA-PBE.

Energy above the most stable polymorph in this dataset ... 0.0 kJ per mole of atoms
Space-group type ... No. 139

Unit cell a=8.5661 b=8.5661 c=8.5661 alpha=155.52 beta=155.52 gamma=34.89
Element x y z (fractional)
Y1 0.1070 0.1070 0.0000
Y2 0.8930 0.8930 0.0000
Re1 0.2500 0.7500 0.5000
Re2 0.7500 0.2500 0.5000
F1 0.5000 0.5000 0.0000


A geometry-optimized Y2Re2F structure, computed with GGA-PBE.

Energy above the most stable polymorph in this dataset ... 16.9 kJ per mole of atoms
Space-group type ... No. 127

Unit cell a=6.5711 b=6.5711 c=4.7585 alpha=90.00 beta=90.00 gamma=90.00
Element x y z (fractional)
Y1 0.1785 0.3215 0.0000
Y2 0.3215 0.8215 0.0000
Y3 0.6785 0.1785 0.0000
Y4 0.8215 0.6785 0.0000
Re1 0.1229 0.6229 0.5000
Re2 0.3771 0.1229 0.5000
Re3 0.6229 0.8771 0.5000
Re4 0.8771 0.3771 0.5000
F1 0.0000 0.0000 0.0000
F2 0.5000 0.5000 0.0000


A geometry-optimized Y3ReF structure, computed with GGA-PBE.

Energy above the most stable polymorph in this dataset ... 0.0 kJ per mole of atoms
Space-group type ... No. 221

Unit cell a=4.7240 b=4.7240 c=4.7240 alpha=90.00 beta=90.00 gamma=90.00
Element x y z (fractional)
Y1 0.0000 0.0000 0.5000
Y2 0.0000 0.5000 0.0000
Y3 0.5000 0.0000 0.0000
Re1 0.5000 0.5000 0.5000
F1 0.0000 0.0000 0.0000


Ρ? In order: 8.77; 9.20; 7.43 g/cm3.
Raw formation energy? In order: -0.411; -0.236; -0.587 eV per atom.